Entry 1:
# TePb6Se5

An optimized crystal structure of TePb6Se5 (PBE, Alexandria).

Results
formation energy from raw total energies = -532 meV/atom

a = 7.6765 Å, b = 7.6753 Å, c = 7.6786 Å
α = 60.01°, β = 80.38°, γ = 70.46°
Last column: nearest neighbours and their distance in Å.
Atoms (fractional coordinates):
Te1 0.0000 0.0000 0.0000  6 Pb 3.22
Pb1 0.7450 0.0852 0.3436  5 Se 3.09-3.15, 1 Te 3.22
Pb2 0.2550 0.5712 0.3436  5 Se 3.09-3.15, 1 Te 3.22
Pb3 0.2555 0.2582 0.0000  5 Se 3.05-3.14, 1 Te 3.22
Pb4 0.7445 0.7418 0.0000  5 Se 3.05-3.14, 1 Te 3.22
Pb5 0.7450 0.4288 0.6564  5 Se 3.09-3.15, 1 Te 3.22
Pb6 0.2550 0.9148 0.6564  5 Se 3.09-3.15, 1 Te 3.22
Se1 0.5000 0.1620 0.6759  6 Pb 3.09-3.15
Se2 0.0000 0.3317 0.3365  6 Pb 3.11-3.14
Se3 0.5000 0.5000 0.0000  6 Pb 3.05-3.14
Se4 0.0000 0.6683 0.6635  6 Pb 3.11-3.14
Se5 0.5000 0.8380 0.3241  6 Pb 3.09-3.15

---

Entry 2:
# SrPmBS4

An optimized crystal structure of SrPmBS4 (PBE, Alexandria).

Results
formation energy from raw total energies = -1516 meV/atom

a = 6.1996 Å, b = 6.3378 Å, c = 8.1182 Å
α = 90.00°, β = 107.50°, γ = 90.00°
Last column: nearest neighbours and their distance in Å.
Atoms (fractional coordinates):
Sr1 0.7143 0.7500 0.9277  8 S 3.00-3.27
Sr2 0.2857 0.2500 0.0723  8 S 3.00-3.27
Pm1 0.7763 0.7500 0.4501  6 S 2.79-2.91
Pm2 0.2237 0.2500 0.5499  6 S 2.79-2.91
B1 0.2137 0.7500 0.3030  4 S 1.92-1.97
B2 0.7863 0.2500 0.6970  4 S 1.92-1.97
S1 0.9843 0.4908 0.7454  1 B 1.92
S2 0.0157 0.9908 0.2546  1 B 1.92
S3 0.0157 0.5092 0.2546  1 B 1.92
S4 0.9843 0.0092 0.7454  1 B 1.92
S5 0.4065 0.7500 0.1509  1 B 1.96
S6 0.5935 0.2500 0.8491  1 B 1.96
S7 0.3762 0.7500 0.5518  1 B 1.97
S8 0.6238 0.2500 0.4482  1 B 1.97